Record 1
Here is a geometry-optimized YInGa3 structure from Alexandria. Energies are from PBE-GGA.

Geometry as extended XYZ:
```
5
Lattice="5.5619 0.0000 0.0000 0.0000 5.5619 0.0000 0.0000 0.0000 5.5619" Properties=species:S:1:pos:R:3 pbc="T T T"
Y 0.0000 0.0000 0.0000
In 2.7809 2.7809 2.7809
Ga 0.0000 0.0000 2.7809
Ga 0.0000 2.7809 0.0000
Ga 2.7809 0.0000 0.0000
```

- SG = Pm-3m
- ΔE_f (meV per atom) = 558
- calculated total energy (eV per atom) = -3.099
- energy above the lowest structure with this stoichiometry (meV/atom) = 206
- density of states at the Fermi level (states/eV/f.u.) = 4.9

***

Record 2
Here is a geometry-optimized La2Hf2Tl structure from Alexandria. Energies are from PBE-GGA.

Geometry as extended XYZ:
```
10
Lattice="7.7259 0.0000 0.0000 0.0000 7.7259 0.0000 0.0000 0.0000 4.8339" Properties=species:S:1:pos:R:3 pbc="T T T"
La 1.2700 2.5929 0.0000
La 2.5929 6.4559 0.0000
La 5.1329 1.2700 0.0000
La 6.4559 5.1329 0.0000
Hf 1.0495 4.9124 2.4169
Hf 2.8134 1.0495 2.4169
Hf 4.9124 6.6764 2.4169
Hf 6.6764 2.8134 2.4169
Tl 0.0000 0.0000 2.4169
Tl 3.8629 3.8629 2.4169
```

- SG = P4/mbm
- ΔE_f (meV per atom) = 118
- calculated total energy (eV per atom) = -6.307
- density of states at the Fermi level (states/eV/f.u.) = 4.6

***

Record 3
Here is a geometry-optimized BaAcP structure from Alexandria. Energies are from PBE-GGA.

Geometry as extended XYZ:
```
6
Lattice="3.9464 0.0000 0.0000 0.0000 3.9464 0.0000 0.0000 0.0000 14.6268" Properties=species:S:1:pos:R:3 pbc="T T T"
Ba 0.0000 0.0000 0.0000
Ba 1.9732 1.9732 7.3134
Ac 0.0000 0.0000 3.4657
Ac 1.9732 1.9732 10.7791
P 0.0000 0.0000 9.3795
P 1.9732 1.9732 2.0661
```

- SG = I4mm
- ΔE_f (meV per atom) = -714
- calculated total energy (eV per atom) = -4.528
- energy above the lowest structure with this stoichiometry (meV/atom) = 98
- density of states at the Fermi level (states/eV/f.u.) = 1.9

***

Record 4
Here is a geometry-optimized InPH structure from Alexandria. Energies are from PBE-GGA.

Geometry as extended XYZ:
```
12
Lattice="11.8204 0.0000 0.0000 0.0000 4.2776 0.0000 -1.7785 0.0000 5.0840" Properties=species:S:1:pos:R:3 pbc="T T T"
In 0.4681 0.0000 2.1833
In 3.6636 2.1388 2.9007
In 6.3784 2.1388 2.1833
In 9.5738 0.0000 2.9007
P 1.6084 2.1388 1.2130
P 2.5234 0.0000 3.8709
P 7.5186 0.0000 1.2130
P 8.4336 2.1388 3.8709
H -0.0143 2.1388 4.8789
H 4.1460 0.0000 0.2051
H 5.8959 0.0000 4.8789
H 10.0563 2.1388 0.2051
```

- SG = C2/m
- calculated total energy (eV per atom) = -3.820
- energy above the lowest structure with this stoichiometry (meV/atom) = 0

***

Record 5
Here is a geometry-optimized La2MgScRu structure from Alexandria. Energies are from PBE-GGA.

Geometry as extended XYZ:
```
5
Lattice="5.5305 0.0000 0.0000 0.0000 5.5305 0.0000 0.0000 0.0000 5.1000" Properties=species:S:1:pos:R:3 pbc="T T T"
La 0.0000 2.7652 0.0000
La 2.7652 0.0000 0.0000
Mg 0.0000 0.0000 2.5500
Sc 2.7652 2.7652 2.5500
Ru 2.7652 2.7652 0.0000
```

- SG = P4/mmm
- ΔE_f (meV per atom) = -131
- calculated total energy (eV per atom) = -5.542
- density of states at the Fermi level (states/eV/f.u.) = 4.3

***

Record 6
Here is a geometry-optimized PmPuAs2 structure from Alexandria. Energies are from PBE-GGA.

Geometry as extended XYZ:
```
16
Lattice="5.9166 0.0000 0.0000 0.0000 5.9166 0.0000 0.0000 0.0000 11.8435" Properties=species:S:1:pos:R:3 pbc="T T T"
Pm 0.0000 1.4791 4.4413
Pm 0.0000 4.4374 7.4022
Pm 2.9583 1.4791 1.4804
Pm 2.9583 4.4374 10.3630
Pu 0.0000 1.4791 10.3630
Pu 0.0000 4.4374 1.4804
Pu 2.9583 1.4791 7.4022
Pu 2.9583 4.4374 4.4413
As 0.0000 1.4791 1.4201
As 0.0000 1.4791 7.4625
As 0.0000 4.4374 4.3809
As 0.0000 4.4374 10.4234
As 2.9583 1.4791 4.5017
As 2.9583 1.4791 10.3027
As 2.9583 4.4374 1.5408
As 2.9583 4.4374 7.3418
```

- SG = I4_1/amd
- ΔE_f (meV per atom) = -1266
- calculated total energy (eV per atom) = -8.361
- energy above the lowest structure with this stoichiometry (meV/atom) = 5
- density of states at the Fermi level (states/eV/f.u.) = 10.9

***

Record 7
Here is a geometry-optimized BAsAuSe2 structure from Alexandria. Energies are from PBE-GGA.

Geometry as extended XYZ:
```
5
Lattice="5.2401 0.0000 0.0000 0.0000 5.2401 0.0000 0.0000 0.0000 4.8389" Properties=species:S:1:pos:R:3 pbc="T T T"
B 0.0000 0.0000 0.0000
As 2.6200 2.6200 0.0000
Au 2.6200 2.6200 2.4195
Se 0.0000 2.6200 2.4195
Se 2.6200 0.0000 2.4195
```

- SG = P4/mmm
- calculated total energy (eV per atom) = -2.789
- ΔE_f (raw) (eV/atom) = 1.526
- energy above the lowest structure with this stoichiometry (meV/atom) = 801
- density of states at the Fermi level (states/eV/f.u.) = 3.9

***

Record 8
Here is a geometry-optimized Na2TiInF6 structure from Alexandria. Energies are from PBE-GGA.

Geometry as extended XYZ:
```
10
Lattice="5.8696 0.0000 0.0000 -2.8982 5.1218 0.0000 -2.9278 -1.6780 5.3579" Properties=species:S:1:pos:R:3 pbc="T T T"
Na 0.0000 0.0000 0.0000
Na -2.9777 1.7069 3.0271
Ti -0.0226 0.0195 3.2742
In 0.0140 3.4040 1.0792
F -0.9746 1.2300 2.0016
F -1.7459 0.0249 4.2917
F 1.5218 0.2253 1.9661
F -1.9937 3.7145 4.2217
F 0.7918 1.5566 4.2666
F 2.2950 3.6601 2.0218
```

- SG = P1
- calculated total energy (eV per atom) = -5.205
- ΔE_f (raw) (eV/atom) = -2.755
- density of states at the Fermi level (states/eV/f.u.) = 5.7

***

Number 1: magnetization 0.00 μB per formula unit, V 34.41 A^3/atom. Number 2: magnetization 0.00 μB per formula unit, V 28.85 A^3/atom. Number 3: magnetization 0.00 μB per formula unit, V 37.97 A^3/atom. Number 4: magnetization 0.00 μB per formula unit, V 21.42 A^3/atom. Number 5: magnetization 0.00 μB per formula unit, V 31.20 A^3/atom. Number 6: magnetization 4.93 μB per formula unit, V 25.91 A^3/atom. Number 7: magnetization 0.00 μB per formula unit, V 26.57 A^3/atom. Number 8: magnetization 1.00 μB per formula unit, V 16.11 A^3/atom.